Density functional theory data (PBE) for B4PtAu after structural relaxation.

```
B4PtAu
1.0
3.0104 0.0000 0.0000
-1.5052 2.6070 0.0000
0.0000 0.0000 8.1066
B Pt Au
4 1 1
direct
0.3333 0.6667 0.2230
0.3333 0.6667 0.7770
0.6667 0.3333 0.2230
0.6667 0.3333 0.7770
0.0000 0.0000 0.0000
0.0000 0.0000 0.5000
```

## Properties
- M_tot: 0.00 μB/f.u.
- Symmetry: No. 191
- V: 63.6 Å³ per cell
- Polymorph energy (0 for the lowest one): 15 meV per atom

Density functional theory data (PBE) for SmErNi2Ge2 after structural relaxation.

```
SmErNi2Ge2
1.0
4.2347 0.0000 0.0000
-2.1174 3.6674 0.0000
0.0000 0.0000 7.1870
Sm Er Ni Ge
1 1 2 2
direct
0.0000 0.0000 0.0000
0.0000 0.0000 0.4987
0.3333 0.6667 0.7121
0.6667 0.3333 0.2750
0.3333 0.6667 0.2705
0.6667 0.3333 0.7332
```

## Properties
- Total DFT energy (no corrections): -34.21 eV per cell
- M_tot: 0.00 μB/f.u.
- Symmetry: No. 156
- V: 111.6 Å³ per cell